(1)
Below is a geometry-optimized BeOs3Au structure, with properties calculated at the PBE-GGA level.

Output
relative energy among the computed polymorphs: 0 kJ/mol of formula units
spin magnetization: 0.92 Bohr magnetons per cell
DFT total energy: -7.183 eV/atom

abc: 4.1490 4.1490 4.1490
angles: 90.00 90.00 90.00
Site moments in Bohr magnetons follow the coordinates.
Atoms (fractional coordinates):
Os  0.5000  0.0000  0.0000  0.43
Be  0.0000  0.0000  0.0000  -0.01
Au  0.5000  0.5000  0.5000  0.07
Os  0.0000  0.5000  0.0000  0.29
Os  0.0000  0.0000  0.5000  0.13

---

(2)
Below is a geometry-optimized TiNbTcRu structure, with properties calculated at the PBE-GGA level.

Output
relative energy among the computed polymorphs: 0 kJ/mol of formula units
spin magnetization: 0.00 Bohr magnetons per cell
DFT total energy: -9.922 eV/atom

abc: 4.4408 4.4408 4.4408
angles: 60.00 60.00 60.00
Atoms (fractional coordinates):
Nb  0.7500  0.7500  0.7500
Tc  0.5000  0.5000  0.5000
Ru  0.0000  0.0000  0.0000
Ti  0.2500  0.2500  0.2500

---

Number 1: calculated formation energy 4.78 eV per formula unit. Number 2: calculated formation energy -2.08 eV per formula unit.